Material: Rb2LiPr2W4O16
Method: DFT, PBE with a Hubbard U
State: optimized geometry

Cell: 7.8746 7.8746 7.5142 Å, 116.58 116.58 92.82°
Atoms (fractional coordinates):
Rb: 0.0000 0.0000 0.0000
Rb: 0.5390 0.4610 0.5000
Li: 0.7604 0.2396 0.0000
Pr: 0.5099 0.4901 0.0000
Pr: 0.9825 0.0175 0.5000
W: 0.0431 0.5553 0.5404
W: 0.0629 0.5371 0.0424
W: 0.4447 0.9569 0.4596
W: 0.4629 0.9371 0.9576
O: 0.1070 0.4850 0.2952
O: 0.1268 0.8260 0.2751
O: 0.1370 0.3172 0.8896
O: 0.1740 0.8732 0.7249
O: 0.3308 0.6205 0.7675
O: 0.3787 0.1806 0.6144
O: 0.3795 0.6692 0.2325
O: 0.3985 0.0036 0.2053
O: 0.5150 0.8930 0.7048
O: 0.5458 0.2102 0.0638
O: 0.6828 0.8630 0.1104
O: 0.7173 0.0363 0.5808
O: 0.7898 0.4542 0.9362
O: 0.8194 0.6213 0.3856
O: 0.9637 0.2827 0.4192
O: 0.9964 0.6015 0.7947

Calculated values
space group: C2 (5)
energy: -7.18 eV per atom
size of the total moment: 1.000 Bohr magnetons per cell